# 1
Entry from the Alexandria database: a geometry-optimized CaMg2RhSe structure (PBEsol).

abc: 5.6042 5.6042 5.0125
angles: 90.00 90.00 90.00
Closest atoms and distances in Å follow each position.
Space group P4/mmm (No. 123)
Unique sites:
1 Ca 0.0000 0.0000 0.0000  2 Se 2.51, 4 Mg 2.80
2 Mg 0.0000 0.5000 0.0000  2 Ca 2.80
3 Rh 0.5000 0.5000 0.5000  8 Mg 3.76, 4 Se 3.96
4 Se 0.0000 0.0000 0.5000  2 Ca 2.51

Output
raw formation energy = 1118 meV per atom
magnetic moment = 1.365 μB/f.u.

# 2
Entry from the Alexandria database: a geometry-optimized Zr2RhSe structure (PBEsol).

abc: 3.9678 5.0159 7.2720
angles: 90.00 90.00 90.00
Closest atoms and distances in Å follow each position.
Space group Immm (No. 71)
Unique sites:
1 Zr 0.0000 0.0000 0.2493  2 Se 2.69, 2 Rh 2.69
2 Rh 0.0000 0.5000 0.0000  4 Zr 2.69
3 Se 0.0000 0.5000 0.5000  4 Zr 2.69

Output
raw formation energy = -729 meV per atom
magnetic moment = 0.000 μB/f.u.

# 3
Entry from the Alexandria database: a geometry-optimized YTiO2 structure (PBEsol).

abc: 4.8563 4.8563 9.9158
angles: 90.00 90.00 90.00
Closest atoms and distances in Å follow each position.
Space group I-42d (No. 122)
Unique sites:
1 Y 0.0000 0.0000 0.0000  4 O 2.25
2 Ti 0.0000 0.0000 0.5000  4 O 2.00
3 O 0.2062 0.2500 0.6250  2 Ti 2.00

Output
raw formation energy = -2435 meV per atom
magnetic moment = 0.000 μB/f.u.

raw formation energy of number 2 (Zr2RhSe)? -729 meV per atom

raw formation energy of number 1 (CaMg2RhSe)? 1118 meV per atom